Entry 1:
This record from the Open Quantum Materials Database describes crystalline Ho3Mg3TlInAg at its relaxed geometry. The functional is PBE-GGA.

Unit cell a=7.5937 b=7.5937 c=4.3999 alpha=90.00 beta=90.00 gamma=120.00
Space group P-6 (No. 174)
Inequivalent atoms, fractional coordinates:
Ho: 0.0000 0.4160 0.0000 (multiplicity 3)
Mg: 0.2397 0.2385 0.5000 (multiplicity 3)
Tl: 0.3333 0.6667 0.5000 (multiplicity 1)
In: 0.6667 0.3333 0.5000 (multiplicity 1)
Ag: 0.0000 0.0000 0.0000 (multiplicity 1)

Computed properties:
The calculation puts the density at 7.52 g/cm³. Its raw total energy is -29.40 eV/f.u.


Entry 2:
This record from the Open Quantum Materials Database describes crystalline Nd2HoIn3AgPt2 at its relaxed geometry. The functional is PBE-GGA.

Unit cell a=3.9133 b=13.6059 c=7.8952 alpha=90.00 beta=90.00 gamma=90.00
Space group Amm2 (No. 38)
Inequivalent atoms, fractional coordinates:
Nd: 0.0000 0.2059 0.0000 (multiplicity 4)
Ho: 0.0000 0.0000 0.3805 (multiplicity 2)
In: 0.5000 0.0000 0.0600 (multiplicity 2)
In: 0.5000 0.1312 0.6596 (multiplicity 4)
Ag: 0.0000 0.0000 0.7909 (multiplicity 2)
Pt: 0.5000 0.1619 0.2959 (multiplicity 4)

Computed properties:
The calculation puts the density at 10.24 g/cm³. Its raw total energy is -44.45 eV/f.u.


Entry 3:
This record from the Open Quantum Materials Database describes crystalline Ho3In3NiAg2 at its relaxed geometry. The functional is PBE-GGA.

Unit cell a=7.7057 b=7.7057 c=3.8802 alpha=90.00 beta=90.00 gamma=120.00
Space group P-62m (No. 189)
Inequivalent atoms, fractional coordinates:
Ho: 0.0000 0.6026 0.0000 (multiplicity 3)
In: 0.0000 0.2482 0.5000 (multiplicity 3)
Ni: 0.0000 0.0000 0.0000 (multiplicity 1)
Ag: 0.3333 0.6667 0.5000 (multiplicity 2)

Computed properties:
The calculation puts the density at 9.27 g/cm³. Its raw total energy is -37.26 eV/f.u.


Entry 4:
This record from the Open Quantum Materials Database describes crystalline Ho3In3Ni2Ag at its relaxed geometry. The functional is PBE-GGA.

Unit cell a=7.5630 b=7.5630 c=3.8523 alpha=90.00 beta=90.00 gamma=120.00
Space group P-62m (No. 189)
Inequivalent atoms, fractional coordinates:
Ho: 0.0000 0.5884 0.0000 (multiplicity 3)
In: 0.0000 0.2728 0.5000 (multiplicity 3)
Ni: 0.3333 0.6667 0.5000 (multiplicity 2)
Ag: 0.0000 0.0000 0.0000 (multiplicity 1)

Computed properties:
The calculation puts the density at 9.26 g/cm³. Its raw total energy is -40.08 eV/f.u.


Entry 5:
This record from the Open Quantum Materials Database describes crystalline TbHo2In3Ni2Ag at its relaxed geometry. The functional is PBE-GGA.

Unit cell a=3.8911 b=13.0728 c=7.5402 alpha=90.00 beta=90.00 gamma=90.00
Space group Amm2 (No. 38)
Inequivalent atoms, fractional coordinates:
Tb: 0.0000 0.0000 0.0000 (multiplicity 2)
Ho: 0.0000 0.2061 0.6175 (multiplicity 4)
In: 0.5000 0.0000 0.6831 (multiplicity 2)
In: 0.5000 0.1365 0.2763 (multiplicity 4)
Ni: 0.5000 0.1674 0.9118 (multiplicity 4)
Ag: 0.0000 0.0000 0.4125 (multiplicity 2)

Computed properties:
The calculation puts the density at 9.17 g/cm³. Its raw total energy is -40.13 eV/f.u.


Entry 6:
This record from the Open Quantum Materials Database describes crystalline Ho2TmIn3NiAg2 at its relaxed geometry. The functional is PBE-GGA.

Unit cell a=3.8149 b=13.3920 c=7.7510 alpha=90.00 beta=90.00 gamma=90.00
Space group Amm2 (No. 38)
Inequivalent atoms, fractional coordinates:
Ho: 0.0000 0.1992 0.0000 (multiplicity 4)
Tm: 0.0000 0.0000 0.5967 (multiplicity 2)
In: 0.5000 0.0000 0.9498 (multiplicity 2)
In: 0.5000 0.1247 0.3242 (multiplicity 4)
Ni: 0.0000 0.0000 0.2002 (multiplicity 2)
Ag: 0.5000 0.1656 0.6989 (multiplicity 4)

Computed properties:
The calculation puts the density at 9.37 g/cm³. Its raw total energy is -37.14 eV/f.u.


Entry 7:
This record from the Open Quantum Materials Database describes crystalline Y2HoIn3Ni2Ag at its relaxed geometry. The functional is PBE-GGA.

Unit cell a=3.7904 b=13.2440 c=7.6580 alpha=90.00 beta=90.00 gamma=90.00
Space group Amm2 (No. 38)
Inequivalent atoms, fractional coordinates:
Y: 0.0000 0.2051 0.0000 (multiplicity 4)
Ho: 0.0000 0.0000 0.6157 (multiplicity 2)
In: 0.5000 0.0000 0.9305 (multiplicity 2)
In: 0.5000 0.1370 0.3425 (multiplicity 4)
Ni: 0.5000 0.1654 0.7043 (multiplicity 4)
Ag: 0.0000 0.0000 0.2057 (multiplicity 2)

Computed properties:
The calculation puts the density at 7.88 g/cm³. Its raw total energy is -43.91 eV/f.u.


Entry 8:
This record from the Open Quantum Materials Database describes crystalline Ho3In3AgPd2 at its relaxed geometry. The functional is PBE-GGA.

Unit cell a=7.7722 b=7.7722 c=3.8291 alpha=90.00 beta=90.00 gamma=120.00
Space group P-62m (No. 189)
Inequivalent atoms, fractional coordinates:
Ho: 0.0000 0.5901 0.0000 (multiplicity 3)
In: 0.0000 0.2675 0.5000 (multiplicity 3)
Ag: 0.0000 0.0000 0.0000 (multiplicity 1)
Pd: 0.3333 0.6667 0.5000 (multiplicity 2)

Computed properties:
The calculation puts the density at 9.62 g/cm³. Its raw total energy is -41.34 eV/f.u.


Entry 9:
This record from the Open Quantum Materials Database describes crystalline Ho3In3AgPd2 at its relaxed geometry. The functional is PBE-GGA.

Unit cell a=3.7693 b=13.5448 c=7.8235 alpha=90.00 beta=90.00 gamma=90.00
Space group Amm2 (No. 38)
Inequivalent atoms, fractional coordinates:
Ho: 0.0000 0.0000 0.0000 (multiplicity 2)
Ho: 0.0000 0.2044 0.3868 (multiplicity 4)
In: 0.5000 0.0000 0.3220 (multiplicity 2)
In: 0.5000 0.1344 0.7259 (multiplicity 4)
Ag: 0.0000 0.0000 0.5914 (multiplicity 2)
Pd: 0.5000 0.1661 0.0909 (multiplicity 4)

Computed properties:
The calculation puts the density at 9.64 g/cm³. Its raw total energy is -41.34 eV/f.u.


Entry 10:
This record from the Open Quantum Materials Database describes crystalline PrHo2In3AgPd2 at its relaxed geometry. The functional is PBE-GGA.

Unit cell a=3.8448 b=13.6574 c=7.8376 alpha=90.00 beta=90.00 gamma=90.00
Space group Amm2 (No. 38)
Inequivalent atoms, fractional coordinates:
Pr: 0.0000 0.0000 0.0000 (multiplicity 2)
Ho: 0.0000 0.2048 0.3858 (multiplicity 4)
In: 0.5000 0.0000 0.3271 (multiplicity 2)
In: 0.5000 0.1355 0.7215 (multiplicity 4)
Ag: 0.0000 0.0000 0.5880 (multiplicity 2)
Pd: 0.5000 0.1705 0.0919 (multiplicity 4)

Computed properties:
The calculation puts the density at 9.17 g/cm³. Its raw total energy is -41.39 eV/f.u.


Entry 11:
This record from the Open Quantum Materials Database describes crystalline Ho3In3AgPdPt at its relaxed geometry. The functional is PBE-GGA.

Unit cell a=7.7977 b=7.7977 c=3.7840 alpha=90.00 beta=90.00 gamma=120.00
Space group P-6 (No. 174)
Inequivalent atoms, fractional coordinates:
Ho: 0.0819 0.3432 0.0000 (multiplicity 3)
In: 0.3946 0.3260 0.5000 (multiplicity 3)
Ag: 0.6667 0.3333 0.0000 (multiplicity 1)
Pd: 0.0000 0.0000 0.5000 (multiplicity 1)
Pt: 0.3333 0.6667 0.5000 (multiplicity 1)

Computed properties:
The calculation puts the density at 10.41 g/cm³. Its raw total energy is -42.86 eV/f.u.


Entry 12:
This record from the Open Quantum Materials Database describes crystalline TbHo2In3AgPd2 at its relaxed geometry. The functional is PBE-GGA.

Unit cell a=3.7811 b=13.5830 c=7.8299 alpha=90.00 beta=90.00 gamma=90.00
Space group Amm2 (No. 38)
Inequivalent atoms, fractional coordinates:
Tb: 0.0000 0.0000 0.0000 (multiplicity 2)
Ho: 0.0000 0.2046 0.6137 (multiplicity 4)
In: 0.5000 0.0000 0.6771 (multiplicity 2)
In: 0.5000 0.1347 0.2753 (multiplicity 4)
Ag: 0.0000 0.0000 0.4098 (multiplicity 2)
Pd: 0.5000 0.1677 0.9088 (multiplicity 4)

Computed properties:
The calculation puts the density at 9.53 g/cm³. Its raw total energy is -41.40 eV/f.u.


Entry 13:
This record from the Open Quantum Materials Database describes crystalline Tb2HoIn3AgPd2 at its relaxed geometry. The functional is PBE-GGA.

Unit cell a=3.8163 b=13.5455 c=7.8236 alpha=90.00 beta=90.00 gamma=90.00
Space group Amm2 (No. 38)
Inequivalent atoms, fractional coordinates:
Tb: 0.0000 0.2051 0.0000 (multiplicity 4)
Ho: 0.0000 0.0000 0.6153 (multiplicity 2)
In: 0.5000 0.0000 0.9371 (multiplicity 2)
In: 0.5000 0.1338 0.3391 (multiplicity 4)
Ag: 0.0000 0.0000 0.2052 (multiplicity 2)
Pd: 0.5000 0.1665 0.7050 (multiplicity 4)

Computed properties:
The calculation puts the density at 9.43 g/cm³. Its raw total energy is -41.46 eV/f.u.


Entry 14:
This record from the Open Quantum Materials Database describes crystalline HoTm2In3AgPd2 at its relaxed geometry. The functional is PBE-GGA.

Unit cell a=3.7477 b=13.5276 c=7.8037 alpha=90.00 beta=90.00 gamma=90.00
Space group Amm2 (No. 38)
Inequivalent atoms, fractional coordinates:
Ho: 0.0000 0.0000 0.0000 (multiplicity 2)
Tm: 0.0000 0.2041 0.6121 (multiplicity 4)
In: 0.5000 0.0000 0.6778 (multiplicity 2)
In: 0.5000 0.1352 0.2735 (multiplicity 4)
Ag: 0.0000 0.0000 0.4084 (multiplicity 2)
Pd: 0.5000 0.1676 0.9077 (multiplicity 4)

Computed properties:
The calculation puts the density at 9.80 g/cm³. Its raw total energy is -41.08 eV/f.u.


Entry 15:
This record from the Open Quantum Materials Database describes crystalline Ho2TmIn3AgPd2 at its relaxed geometry. The functional is PBE-GGA.

Unit cell a=3.7609 b=13.5246 c=7.8135 alpha=90.00 beta=90.00 gamma=90.00
Space group Amm2 (No. 38)
Inequivalent atoms, fractional coordinates:
Ho: 0.0000 0.2041 0.0000 (multiplicity 4)
Tm: 0.0000 0.0000 0.6124 (multiplicity 2)
In: 0.5000 0.0000 0.9342 (multiplicity 2)
In: 0.5000 0.1347 0.3393 (multiplicity 4)
Ag: 0.0000 0.0000 0.2045 (multiplicity 2)
Pd: 0.5000 0.1657 0.7037 (multiplicity 4)

Computed properties:
The calculation puts the density at 9.73 g/cm³. Its raw total energy is -41.21 eV/f.u.


Entry 16:
This record from the Open Quantum Materials Database describes crystalline Y2HoIn3AgPd2 at its relaxed geometry. The functional is PBE-GGA.

Unit cell a=3.7864 b=13.5406 c=7.8336 alpha=90.00 beta=90.00 gamma=90.00
Space group Amm2 (No. 38)
Inequivalent atoms, fractional coordinates:
Y: 0.0000 0.2044 0.0000 (multiplicity 4)
Ho: 0.0000 0.0000 0.6139 (multiplicity 2)
In: 0.5000 0.0000 0.9357 (multiplicity 2)
In: 0.5000 0.1342 0.3389 (multiplicity 4)
Ag: 0.0000 0.0000 0.2048 (multiplicity 2)
Pd: 0.5000 0.1656 0.7038 (multiplicity 4)

Computed properties:
The calculation puts the density at 8.33 g/cm³. Its raw total energy is -45.18 eV/f.u.


Entry 17:
This record from the Open Quantum Materials Database describes crystalline YHo2In3AgPd2 at its relaxed geometry. The functional is PBE-GGA.

Unit cell a=3.7717 b=13.5863 c=7.8235 alpha=90.00 beta=90.00 gamma=90.00
Space group Amm2 (No. 38)
Inequivalent atoms, fractional coordinates:
Y: 0.0000 0.0000 0.0000 (multiplicity 2)
Ho: 0.0000 0.2044 0.6126 (multiplicity 4)
In: 0.5000 0.0000 0.6771 (multiplicity 2)
In: 0.5000 0.1346 0.2739 (multiplicity 4)
Ag: 0.0000 0.0000 0.4086 (multiplicity 2)
Pd: 0.5000 0.1680 0.9073 (multiplicity 4)

Computed properties:
The calculation puts the density at 8.98 g/cm³. Its raw total energy is -43.26 eV/f.u.


Entry 18:
This record from the Open Quantum Materials Database describes crystalline PrHo2In3AgPt2 at its relaxed geometry. The functional is PBE-GGA.

Unit cell a=3.8240 b=13.6973 c=7.8500 alpha=90.00 beta=90.00 gamma=90.00
Space group Amm2 (No. 38)
Inequivalent atoms, fractional coordinates:
Pr: 0.0000 0.0000 0.0000 (multiplicity 2)
Ho: 0.0000 0.2054 0.6153 (multiplicity 4)
In: 0.5000 0.0000 0.6746 (multiplicity 2)
In: 0.5000 0.1351 0.2788 (multiplicity 4)
Ag: 0.0000 0.0000 0.4125 (multiplicity 2)
Pt: 0.5000 0.1714 0.9082 (multiplicity 4)

Computed properties:
The calculation puts the density at 10.61 g/cm³. Its raw total energy is -44.30 eV/f.u.


Entry 19:
This record from the Open Quantum Materials Database describes crystalline Ho3In3Ag2Pt at its relaxed geometry. The functional is PBE-GGA.

Unit cell a=7.7239 b=7.7239 c=3.9691 alpha=90.00 beta=90.00 gamma=120.00
Space group P-62m (No. 189)
Inequivalent atoms, fractional coordinates:
Ho: 0.0000 0.6037 0.0000 (multiplicity 3)
In: 0.0000 0.2581 0.5000 (multiplicity 3)
Ag: 0.3333 0.6667 0.5000 (multiplicity 2)
Pt: 0.0000 0.0000 0.0000 (multiplicity 1)

Computed properties:
The calculation puts the density at 10.12 g/cm³. Its raw total energy is -39.01 eV/f.u.


Entry 20:
This record from the Open Quantum Materials Database describes crystalline TbHo2In3AgPt2 at its relaxed geometry. The functional is PBE-GGA.

Unit cell a=3.7647 b=13.5578 c=7.8122 alpha=90.00 beta=90.00 gamma=90.00
Space group Amm2 (No. 38)
Inequivalent atoms, fractional coordinates:
Tb: 0.0000 0.0000 0.0000 (multiplicity 2)
Ho: 0.0000 0.2047 0.3863 (multiplicity 4)
In: 0.5000 0.0000 0.3226 (multiplicity 2)
In: 0.5000 0.1348 0.7251 (multiplicity 4)
Ag: 0.0000 0.0000 0.5905 (multiplicity 2)
Pt: 0.5000 0.1674 0.0913 (multiplicity 4)

Computed properties:
The calculation puts the density at 11.09 g/cm³. Its raw total energy is -44.36 eV/f.u.